A relaxed LuInAu crystal. Source: Alexandria, functional GGA-PBE.

Geometry as CIF:
```
data_LuInAu
_space_group_name_H-M_alt 'I 4 m m'
_space_group_IT_number 107
_space_group_name_Hall 'I 4 -2'
_cell_length_a 3.4298
_cell_length_b 3.4298
_cell_length_c 11.6020
_cell_angle_alpha 90.00
_cell_angle_beta 90.00
_cell_angle_gamma 90.00
loop_
_atom_site_label
_atom_site_fract_x
_atom_site_fract_y
_atom_site_fract_z
_atom_site_occupancy
Lu1 0.0000 0.0000 0.0000 1
In1 0.0000 0.0000 0.6935 1
Au1 0.0000 0.0000 0.3555 1
```

Energy relative to the elements, eV/atom: -0.5366
ρ, g/cm³: 11.844
M_tot, μB per cell: 0.0
D(E_F), states/eV/cell: 3.1